Tb11Nd4Er9, optimized geometry, DFT PBE; magnetization = 0.00 μB per formula unit; SG = No. 65; VASP energy = -109.6 eV/f.u.; energy of formation from the pure elements = 0.0612 eV/atom; ρ = 8.24 g cm⁻³
1.0
-0.495 -1.977 3.065
6.237 -11.978 -6.722
10.103 8.600 7.180
Tb Nd Er
11 4 9
direct
0.000 0.593 0.956
0.000 0.407 0.044
0.000 0.956 0.593
0.000 0.044 0.407
0.000 0.635 0.365
0.000 0.365 0.635
0.000 0.841 0.159
0.000 0.159 0.841
0.000 0.000 0.000
0.000 0.712 0.712
0.000 0.288 0.288
0.500 0.554 0.755
0.500 0.446 0.245
0.500 0.755 0.554
0.500 0.245 0.446
0.500 0.634 0.163
0.500 0.366 0.837
0.500 0.163 0.634
0.500 0.837 0.366
0.500 0.789 0.934
0.500 0.211 0.066
0.500 0.934 0.789
0.500 0.066 0.211
0.500 0.500 0.500